Record 1
CeThPt10 | GGA-PBE | relaxed

**Spin magnetization**: 0.5 μB/cell
**Fermi-level density of states**: 15.27 states/eV/f.u.
**Final energy**: -6.91 eV per atom
**Space group**: Pmmm, No. 47
**Calculated volume**: 225.4 Å³/f.u.
**Formation enthalpy at 0 K**: -766.2 meV per atom

Cell and atoms, written as POSCAR:
```
CeThPt10
1.0
4.460 0.000 0.000
0.000 5.413 0.000
0.000 0.000 9.338
Ce Th Pt
1 1 10
Direct
0.000 0.000 0.000
0.000 0.500 0.500
0.000 0.000 0.333
0.000 0.000 0.667
0.000 0.500 0.166
0.000 0.500 0.834
0.500 0.000 0.500
0.500 0.252 0.252
0.500 0.252 0.748
0.500 0.500 0.000
0.500 0.748 0.252
0.500 0.748 0.748
```

Record 2
CeTh2Pt | GGA-PBE | relaxed

**Spin magnetization**: 0.0 μB/cell
**Fermi-level density of states**: 3.81 states/eV/f.u.
**Relative energy among the computed polymorphs**: 66 meV per atom
**Final energy**: -7.21 eV per atom
**Space group**: P4/mmm, No. 123
**Calculated volume**: 108.0 Å³/f.u.
**Formation enthalpy at 0 K**: -501.8 meV per atom

Cell and atoms, written as POSCAR:
```
CeTh2Pt
1.0
3.702 0.000 0.000
0.000 3.702 0.000
0.000 0.000 7.880
Ce Th Pt
1 2 1
Direct
0.000 0.000 0.000
0.500 0.500 0.283
0.500 0.500 0.717
0.000 0.000 0.500
```

Record 3
Ce2ThPt | GGA-PBE | relaxed

**Spin magnetization**: 0.0 μB/cell
**Fermi-level density of states**: 6.69 states/eV/f.u.
**Relative energy among the computed polymorphs**: 40 meV per atom
**Final energy**: -6.84 eV per atom
**Space group**: P4/mmm, No. 123
**Calculated volume**: 104.1 Å³/f.u.
**Formation enthalpy at 0 K**: -507.2 meV per atom

Cell and atoms, written as POSCAR:
```
Ce2ThPt
1.0
3.624 0.000 0.000
0.000 3.624 0.000
0.000 0.000 7.928
Ce Th Pt
2 1 1
Direct
0.000 0.000 0.210
0.000 0.000 0.790
0.500 0.500 0.500
0.500 0.500 0.000
```

Record 4
CeTh2Pt | GGA-PBE | relaxed

**Spin magnetization**: 0.9 μB/cell
**Fermi-level density of states**: 7.39 states/eV/f.u.
**Relative energy among the computed polymorphs**: 193 meV per atom
**Final energy**: -7.08 eV per atom
**Space group**: R3m, No. 160
**Calculated volume**: 118.9 Å³/f.u.
**Formation enthalpy at 0 K**: -374.6 meV per atom

Cell and atoms, written as POSCAR:
```
CeTh2Pt
1.0
1.896 1.095 9.553
-1.896 1.095 9.553
0.000 -2.189 9.553
Ce Th Pt
1 2 1
Direct
0.000 0.000 0.000
0.233 0.233 0.233
0.430 0.430 0.430
0.831 0.831 0.831
```

Record 5
CeTh3Pt12 | GGA-PBE | relaxed

**Spin magnetization**: 0.4 μB/cell
**Fermi-level density of states**: 5.50 states/eV/f.u.
**Final energy**: -7.37 eV per atom
**Space group**: P4/mmm, No. 123
**Calculated volume**: 301.2 Å³/f.u.
**Formation enthalpy at 0 K**: -1074.5 meV per atom

Cell and atoms, written as POSCAR:
```
CeTh3Pt12
1.0
4.225 0.000 0.000
0.000 4.225 0.000
0.000 0.000 16.871
Ce Th Pt
1 3 12
Direct
0.000 0.000 0.000
0.000 0.000 0.247
0.000 0.000 0.500
0.000 0.000 0.753
0.000 0.500 0.123
0.000 0.500 0.374
0.000 0.500 0.626
0.000 0.500 0.877
0.500 0.000 0.123
0.500 0.000 0.374
0.500 0.000 0.626
0.500 0.000 0.877
0.500 0.500 0.000
0.500 0.500 0.249
0.500 0.500 0.500
0.500 0.500 0.751
```

Record 6
CeThPt | GGA-PBE | relaxed

**Spin magnetization**: 1.0 μB/cell
**Fermi-level density of states**: 5.65 states/eV/f.u.
**Relative energy among the computed polymorphs**: 34 meV per atom
**Final energy**: -7.19 eV per atom
**Space group**: C2/m, No. 12
**Calculated volume**: 80.3 Å³/f.u.
**Formation enthalpy at 0 K**: -721.7 meV per atom

Cell and atoms, written as POSCAR:
```
CeThPt
1.0
5.868 -1.913 0.000
5.868 1.913 0.000
-5.022 0.000 7.156
Ce Th Pt
2 2 2
Direct
0.066 0.066 0.343
0.934 0.934 0.657
0.333 0.333 0.927
0.667 0.667 0.073
0.352 0.352 0.351
0.648 0.648 0.649
```

Record 7
CeThPt | GGA-PBE | relaxed

**Spin magnetization**: 1.0 μB/cell
**Fermi-level density of states**: 8.64 states/eV/f.u.
**Relative energy among the computed polymorphs**: 234 meV per atom
**Final energy**: -6.99 eV per atom
**Space group**: F-43m, No. 216
**Calculated volume**: 86.9 Å³/f.u.
**Formation enthalpy at 0 K**: -521.4 meV per atom

Cell and atoms, written as POSCAR:
```
CeThPt
1.0
0.000 3.515 3.515
3.515 0.000 3.515
3.515 3.515 0.000
Ce Th Pt
1 1 1
Direct
0.000 0.000 0.000
0.500 0.500 0.500
0.750 0.750 0.750
```

Record 8
Ce2Th2Pt3 | GGA-PBE | relaxed

**Spin magnetization**: 3.5 μB/cell
**Fermi-level density of states**: 15.90 states/eV/f.u.
**Final energy**: -7.30 eV per atom
**Space group**: C2/m, No. 12
**Calculated volume**: 189.3 Å³/f.u.
**Formation enthalpy at 0 K**: -899.0 meV per atom

Cell and atoms, written as POSCAR:
```
Ce2Th2Pt3
1.0
9.126 -2.043 0.000
9.126 2.043 0.000
-8.025 0.000 10.149
Ce Th Pt
4 4 6
Direct
0.019 0.019 0.349
0.299 0.299 0.218
0.701 0.701 0.782
0.981 0.981 0.651
0.302 0.302 0.666
0.417 0.417 0.042
0.583 0.583 0.958
0.698 0.698 0.334
0.075 0.075 0.144
0.178 0.178 0.913
0.347 0.347 0.485
0.653 0.653 0.515
0.822 0.822 0.087
0.925 0.925 0.856
```

Record 9
Ce3ThPt4 | GGA-PBE | relaxed

**Spin magnetization**: 3.7 μB/cell
**Fermi-level density of states**: 17.48 states/eV/f.u.
**Final energy**: -7.26 eV per atom
**Space group**: P2/c, No. 13
**Calculated volume**: 203.5 Å³/f.u.
**Formation enthalpy at 0 K**: -1088.2 meV per atom

Cell and atoms, written as POSCAR:
```
Ce3ThPt4
1.0
7.198 0.000 0.000
0.000 8.326 0.000
-2.401 0.000 6.792
Ce Th Pt
6 2 8
Direct
0.000 0.124 0.250
0.000 0.876 0.750
0.500 0.125 0.750
0.500 0.374 0.250
0.500 0.626 0.750
0.500 0.875 0.250
0.000 0.374 0.750
0.000 0.626 0.250
0.250 0.125 0.000
0.250 0.375 0.500
0.250 0.625 0.000
0.250 0.875 0.500
0.750 0.125 0.500
0.750 0.375 0.000
0.750 0.625 0.500
0.750 0.875 0.000
```

Record 10
CeThPt | GGA-PBE | relaxed

**Spin magnetization**: 0.8 μB/cell
**Fermi-level density of states**: 5.12 states/eV/f.u.
**Relative energy among the computed polymorphs**: 101 meV per atom
**Final energy**: -7.12 eV per atom
**Space group**: I4mm, No. 107
**Calculated volume**: 76.1 Å³/f.u.
**Formation enthalpy at 0 K**: -654.7 meV per atom

Cell and atoms, written as POSCAR:
```
CeThPt
1.0
-1.875 1.875 5.408
1.875 -1.875 5.408
1.875 1.875 -5.408
Ce Th Pt
1 1 1
Direct
0.000 0.000 0.000
0.297 0.297 0.000
0.659 0.659 0.000
```

Record 11
CeTh2Pt | GGA-PBE | relaxed

**Spin magnetization**: 0.4 μB/cell
**Fermi-level density of states**: 6.87 states/eV/f.u.
**Relative energy among the computed polymorphs**: 336 meV per atom
**Final energy**: -6.94 eV per atom
**Space group**: R-3m, No. 166
**Calculated volume**: 107.8 Å³/f.u.
**Formation enthalpy at 0 K**: -231.7 meV per atom

Cell and atoms, written as POSCAR:
```
CeTh2Pt
1.0
2.230 1.287 6.261
-2.230 1.287 6.261
0.000 -2.574 6.261
Ce Th Pt
1 2 1
Direct
0.000 0.000 0.000
0.243 0.243 0.243
0.757 0.757 0.757
0.500 0.500 0.500
```

Record 12
CeTh4Pt15 | GGA-PBE | relaxed

**Spin magnetization**: 0.4 μB/cell
**Fermi-level density of states**: 5.69 states/eV/f.u.
**Final energy**: -7.39 eV per atom
**Space group**: P4/mmm, No. 123
**Calculated volume**: 377.4 Å³/f.u.
**Formation enthalpy at 0 K**: -1078.0 meV per atom

Cell and atoms, written as POSCAR:
```
CeTh4Pt15
1.0
4.226 0.000 0.000
0.000 4.226 0.000
0.000 0.000 21.132
Ce Th Pt
1 4 15
Direct
0.000 0.000 0.000
0.000 0.000 0.198
0.000 0.000 0.399
0.000 0.000 0.601
0.000 0.000 0.802
0.000 0.500 0.098
0.000 0.500 0.299
0.000 0.500 0.500
0.000 0.500 0.701
0.000 0.500 0.902
0.500 0.000 0.098
0.500 0.000 0.299
0.500 0.000 0.500
0.500 0.000 0.701
0.500 0.000 0.902
0.500 0.500 0.000
0.500 0.500 0.199
0.500 0.500 0.400
0.500 0.500 0.600
0.500 0.500 0.801
```